1.
La3Ce2ThP6: relaxed, PBE-GGA.

D(E_F)   11.63 states/eV per cell
E_form   -1.5590 eV/atom
Calculated total energy   -7.103 eV per atom
Crystal system   monoclinic

a = 7.253 Å, b = 7.253 Å, c = 7.273 Å
α = 99.56°, β = 99.56°, γ = 120.01°
Sites, in units of the cell vectors:
La (0.000, 0.000, 0.000)
La (0.333, 0.667, 0.000)
La (0.667, 0.333, 0.000)
Ce (0.167, 0.833, 0.500)
Ce (0.833, 0.167, 0.500)
Th (0.500, 0.500, 0.500)
P (0.086, 0.421, 0.262)
P (0.245, 0.245, 0.739)
P (0.421, 0.086, 0.262)
P (0.579, 0.914, 0.738)
P (0.755, 0.755, 0.261)
P (0.914, 0.579, 0.738)



2.
GePtF2: relaxed, PBE-GGA.

D(E_F)   3.67 states/eV per cell
Uncorrected formation energy   -0.897 eV per atom
Calculated total energy   -4.497 eV per atom
Crystal system   trigonal

a = 2.847 Å, b = 2.847 Å, c = 23.733 Å
α = 90.00°, β = 90.00°, γ = 120.00°
Sites, in units of the cell vectors:
Ge (0.000, 0.000, 0.000)
Ge (0.333, 0.667, 0.667)
Ge (0.667, 0.333, 0.333)
Pt (0.000, 0.000, 0.500)
Pt (0.333, 0.667, 0.167)
Pt (0.667, 0.333, 0.833)
F (0.000, 0.000, 0.415)
F (0.000, 0.000, 0.585)
F (0.333, 0.667, 0.081)
F (0.333, 0.667, 0.252)
F (0.667, 0.333, 0.748)
F (0.667, 0.333, 0.919)